## SmGdFe2Si2 (GGA-PBE)

Data for crystalline SmGdFe2Si2 at its relaxed geometry.

## Properties
The size of the total moment comes out at 0.00 μB per atom. Its energy is -6.750 eV per atom. The calculation puts the calculated volume at 108.2 Å³ per cell.

a = 4.039 Å, b = 4.039 Å, c = 6.632 Å
α = 90.00°, β = 90.00°, γ = 90.00°
Sites, in units of the cell vectors:
Si1 0.500 0.500 0.825
Si2 0.000 0.000 0.172
Fe1 0.500 0.000 0.998
Gd1 0.000 0.000 0.686
Sm1 0.500 0.500 0.320
Fe2 0.000 0.500 0.998